No. 1
First-principles (PBE-GGA) data for an optimized crystal structure of H2SI, as listed in Alexandria.

a b c (Å): 3.1219 5.3261 6.1786
angles (deg): 89.95 88.17 84.21
With the nearest neighbours (Å) after each atom.
Sites, in units of the cell vectors:
H: 0.0000 0.0000 0.0000  1 S 1.37
H: 0.0096 0.0000 0.6800  1 S 1.37
S: 0.9804 0.1785 0.8403  2 H 1.37
I: 0.0519 0.6627 0.3395  2 H 2.76

Calculated values
Calculated total energy = -3.16 eV/atom
M_tot = 0.19 Bohr magnetons per cell
SG = P1, No. 1

---

No. 2
First-principles (PBE-GGA) data for an optimized crystal structure of DySi2PdRh, as listed in Alexandria.

a b c (Å): 5.8069 5.8069 5.8069
angles (deg): 138.97 138.97 59.42
With the nearest neighbours (Å) after each atom.
Sites, in units of the cell vectors:
Dy: 0.0000 0.0000 0.0000  8 Si 3.11, 4 Pd 3.24, 4 Rh 3.24
Si: 0.3840 0.3840 0.0000  1 Si 2.34, 2 Rh 2.44, 2 Pd 2.44
Si: 0.6160 0.6160 0.0000  1 Si 2.34, 2 Rh 2.44, 2 Pd 2.44
Pd: 0.2500 0.7500 0.5000  4 Si 2.44
Rh: 0.7500 0.2500 0.5000  4 Si 2.44

Calculated values
Calculated total energy = -6.60 eV/atom
M_tot = 0.00 Bohr magnetons per cell
SG = I-4m2, No. 119
Uncorrected formation energy = -1.00 eV/atom

---

No. 3
First-principles (PBE-GGA) data for an optimized crystal structure of Ni2IrPdPb, as listed in Alexandria.

a b c (Å): 4.6603 4.6603 4.9454
angles (deg): 90.00 90.00 90.00
With the nearest neighbours (Å) after each atom.
Sites, in units of the cell vectors:
Ni: 0.0000 0.5000 0.0000  2 Pb 2.33
Ni: 0.5000 0.0000 0.0000  2 Pb 2.33
Ir: 0.0000 0.0000 0.5000  4 Pd 3.30, 8 Ni 3.40
Pd: 0.5000 0.5000 0.5000  2 Pb 2.47
Pb: 0.5000 0.5000 0.0000  4 Ni 2.33, 2 Pd 2.47

Calculated values
Calculated total energy = -4.11 eV/atom
M_tot = 1.76 Bohr magnetons per cell
Energy of formation = 1.7567 eV per atom
SG = P4/mmm, No. 123

---

No. 4
First-principles (PBE-GGA) data for an optimized crystal structure of YPd8Au6, as listed in Alexandria.

a b c (Å): 7.6697 7.6697 5.3242
angles (deg): 90.00 90.00 120.00
With the nearest neighbours (Å) after each atom.
Sites, in units of the cell vectors:
Y: 0.0000 0.0000 0.0000  6 Pd 2.76
Pd: 0.0481 0.7530 0.6634  3 Pd 2.63-2.73, 4 Au 2.75-2.91, 1 Y 2.76
Pd: 0.2470 0.2951 0.6634  3 Pd 2.63-2.73, 4 Au 2.75-2.91, 1 Y 2.76
Pd: 0.2951 0.0481 0.3366  3 Pd 2.63-2.73, 4 Au 2.75-2.91, 1 Y 2.76
Pd: 0.3333 0.6667 0.7525  3 Pd 2.63, 3 Au 2.86
Pd: 0.6667 0.3333 0.2475  3 Pd 2.63, 3 Au 2.86
Pd: 0.7049 0.9519 0.6634  3 Pd 2.63-2.73, 4 Au 2.75-2.91, 1 Y 2.76
Pd: 0.7530 0.7049 0.3366  3 Pd 2.63-2.73, 4 Au 2.75-2.91, 1 Y 2.76
Pd: 0.9519 0.2470 0.3366  3 Pd 2.63-2.73, 4 Au 2.75-2.91, 1 Y 2.76
Au: 0.0980 0.6548 0.1762  7 Pd 2.75-3.00, 3 Au 2.80-3.05
Au: 0.3452 0.4432 0.1762  7 Pd 2.75-3.00, 3 Au 2.80-3.05
Au: 0.4432 0.0980 0.8238  7 Pd 2.75-3.00, 3 Au 2.80-3.05
Au: 0.5568 0.9020 0.1762  7 Pd 2.75-3.00, 3 Au 2.80-3.05
Au: 0.6548 0.5568 0.8238  7 Pd 2.75-3.00, 3 Au 2.80-3.05
Au: 0.9020 0.3452 0.8238  7 Pd 2.75-3.00, 3 Au 2.80-3.05

Calculated values
Calculated total energy = -4.63 eV/atom
M_tot = 0.00 Bohr magnetons per cell
Energy of formation = -0.1176 eV per atom
SG = P-3, No. 147